DFT (PBEsol) results for LaZrRh after structural relaxation.

size of the total moment: 0.000 μB per atom
ΔH_f (0 K): 0.48 eV per atom
distance to the lowest polymorph of the same formula: 66.65 kJ/mol of atoms
ρ: 8.279 g/cm³

a = 6.4409 Å, b = 6.4409 Å, c = 6.4409 Å
α = 90.00°, β = 90.00°, γ = 90.00°
With the nearest neighbours (Å) after each atom.
Space group F-43m (No. 216)
One atom of each set of equivalent atoms:
La: 0.0000 0.0000 0.0000 x4  4 Zr 2.79, 4 Rh 2.79
Zr: 0.2500 0.2500 0.2500 x4  4 La 2.79
Rh: 0.2500 0.2500 0.7500 x4  4 La 2.79

=====

DFT (PBEsol) results for La2ZrRh after structural relaxation.

size of the total moment: 0.000 μB per atom
ΔH_f (0 K): -0.02 eV per atom
distance to the lowest polymorph of the same formula: 24.97 kJ/mol of atoms
ρ: 8.689 g/cm³

a = 3.4077 Å, b = 5.0072 Å, c = 5.2858 Å
α = 90.00°, β = 90.00°, γ = 90.00°
With the nearest neighbours (Å) after each atom.
Space group Pmmm (No. 47)
One atom of each set of equivalent atoms:
La: 0.0000 0.0000 0.0000 x1  4 Rh 3.03, 4 La 3.14
La: 0.5000 0.0000 0.5000 x1  4 Zr 3.03, 4 La 3.14
Zr: 0.0000 0.5000 0.5000 x1  4 La 3.03, 4 Rh 3.14
Rh: 0.5000 0.5000 0.0000 x1  4 La 3.03, 4 Zr 3.14

=====

DFT (PBEsol) results for La2ZrRh after structural relaxation.

size of the total moment: 0.000 μB per atom
ΔH_f (0 K): -0.28 eV per atom
distance to the lowest polymorph of the same formula: 0.00 kJ/mol of atoms
ρ: 7.847 g/cm³

a = 3.3987 Å, b = 3.3987 Å, c = 8.6464 Å
α = 90.00°, β = 90.00°, γ = 90.00°
With the nearest neighbours (Å) after each atom.
Space group P4mm (No. 99)
One atom of each set of equivalent atoms:
La: 0.0000 0.0000 0.0000 x1  4 Zr 3.37, 4 La 3.40, 1 Rh 3.69
La: 0.5000 0.5000 0.3452 x1  4 Rh 3.11, 1 Zr 3.30, 4 La 3.40
Zr: 0.5000 0.5000 0.7273 x1  4 Rh 2.75
Rh: 0.0000 0.0000 0.5727 x1  4 Zr 2.75

=====

DFT (PBEsol) results for LaZr2Rh after structural relaxation.

size of the total moment: 0.000 μB per atom
ΔH_f (0 K): -0.28 eV per atom
distance to the lowest polymorph of the same formula: 0.20 kJ/mol of atoms
ρ: 7.869 g/cm³

a = 3.2585 Å, b = 3.2585 Å, c = 8.4314 Å
α = 90.00°, β = 90.00°, γ = 90.00°
With the nearest neighbours (Å) after each atom.
Space group P4mm (No. 99)
One atom of each set of equivalent atoms:
La: 0.0000 0.0000 0.0000 x1  4 Rh 3.15, 4 La 3.26
Zr: 0.0000 0.0000 0.4243 x1  4 Rh 2.71
Zr: 0.5000 0.5000 0.6687 x1  8 Zr 3.09-3.26
Rh: 0.5000 0.5000 0.2540 x1  4 Zr 2.71

=====

DFT (PBEsol) results for La3Ru2 after structural relaxation.

size of the total moment: 0.000 μB per atom
ΔH_f (0 K): -0.08 eV per atom
ρ: 8.162 g/cm³

a = 4.8405 Å, b = 4.8405 Å, c = 6.2051 Å
α = 90.00°, β = 90.00°, γ = 120.00°
With the nearest neighbours (Å) after each atom.
Space group P-3m1 (No. 164)
One atom of each set of equivalent atoms:
La: 0.0000 0.0000 0.0000 x1  6 Ru 3.01
La: 0.3333 0.6667 0.3365 x2  5 Ru 2.95-3.22
Ru: 0.3333 0.6667 0.8179 x2  8 La 2.95-3.22

=====

DFT (PBEsol) results for LaRu3S after structural relaxation.

size of the total moment: 0.774 μB per atom
ρ: 7.417 g/cm³
formation energy from raw total energies: 2.1918 eV/atom

a = 4.7350 Å, b = 4.7350 Å, c = 4.7350 Å
α = 90.00°, β = 90.00°, γ = 90.00°
With the nearest neighbours (Å) after each atom.
Space group Pm-3m (No. 221)
One atom of each set of equivalent atoms:
La: 0.0000 0.0000 0.0000 x1  6 Ru 2.37
Ru: 0.0000 0.0000 0.5000 x3  2 La 2.37
S: 0.5000 0.5000 0.5000 x1  12 Ru 3.35

=====

DFT (PBEsol) results for LaSb2Ru after structural relaxation.

size of the total moment: 0.000 μB per atom
ρ: 8.193 g/cm³
formation energy from raw total energies: -0.5845 eV/atom

a = 4.3343 Å, b = 4.3343 Å, c = 18.0694 Å
α = 90.00°, β = 90.00°, γ = 120.00°
With the nearest neighbours (Å) after each atom.
Space group R3m (No. 160, hexagonal axes)
One atom of each set of equivalent atoms:
La: 0.0000 0.0000 0.0000 x3  6 Sb 3.12-3.29, 1 Ru 3.33
Sb: 0.0000 0.0000 0.2150 x3  3 Ru 2.77
Sb: 0.0000 0.0000 0.4361 x3  3 Ru 2.64
Ru: 0.0000 0.0000 0.8159 x3  6 Sb 2.64-2.77

=====

DFT (PBEsol) results for La2SbRu after structural relaxation.

size of the total moment: 0.000 μB per atom
ρ: 8.184 g/cm³
formation energy from raw total energies: -0.4965 eV/atom

a = 3.5521 Å, b = 4.8181 Å, c = 11.8703 Å
α = 90.00°, β = 90.00°, γ = 90.00°
With the nearest neighbours (Å) after each atom.
Space group Imm2 (No. 44)
One atom of each set of equivalent atoms:
La: 0.0000 0.0000 0.0000 x2  2 Ru 3.20, 4 Sb 3.23, 4 La 3.44-3.55
La: 0.0000 0.5000 0.2072 x2  4 Ru 3.00, 2 Sb 3.30
Sb: 0.0000 0.0000 0.3976 x2  2 Ru 2.72
Ru: 0.0000 0.5000 0.7241 x2  2 Sb 2.72, 4 La 3.00

=====

Which of these has the lowest ρ?
LaRu3S

=====

The highest size of the total moment belongs to which entry?
LaRu3S

=====

Repeat the sixth record exactly.
DFT (PBEsol) results for LaRu3S after structural relaxation.

size of the total moment: 0.774 μB per atom
ρ: 7.417 g/cm³
formation energy from raw total energies: 2.1918 eV/atom

a = 4.7350 Å, b = 4.7350 Å, c = 4.7350 Å
α = 90.00°, β = 90.00°, γ = 90.00°
With the nearest neighbours (Å) after each atom.
Space group Pm-3m (No. 221)
One atom of each set of equivalent atoms:
La: 0.0000 0.0000 0.0000 x1  6 Ru 2.37
Ru: 0.0000 0.0000 0.5000 x3  2 La 2.37
S: 0.5000 0.5000 0.5000 x1  12 Ru 3.35

=====

Look up the ρ of the second one.
8.689 g/cm³